First-principles (SCAN) data for Be2GaAsAu at its PBEsol-relaxed geometry, as listed in Alexandria via LeMat-Bulk.

Unit cell a=4.1373 b=4.1373 c=5.2078 alpha=90.00 beta=90.00 gamma=90.00
Last column: nearest neighbours and their distance in Å.
Fractional coordinates of all 5 atoms:
1 Be 0.0000 0.5000 0.0000  2 As 2.07
2 Be 0.5000 0.0000 0.0000  2 As 2.07
3 Ga 0.0000 0.0000 0.5000  4 Au 2.93
4 As 0.5000 0.5000 0.0000  4 Be 2.07
5 Au 0.5000 0.5000 0.5000  2 As 2.60

Output
Symmetry ... P4/mmm (123)
Electronic total energy ... -0.819 Ha/atom
Crystal system ... tetragonal

First-principles (SCAN) data for Li3PRh at its PBEsol-relaxed geometry, as listed in Alexandria via LeMat-Bulk.

Unit cell a=4.3741 b=4.3741 c=4.3741 alpha=90.00 beta=90.00 gamma=90.00
Last column: nearest neighbours and their distance in Å.
Fractional coordinates of all 5 atoms:
1 Li 0.0000 0.0000 0.5000  2 P 2.19
2 Li 0.0000 0.5000 0.0000  2 P 2.19
3 Li 0.5000 0.0000 0.0000  2 P 2.19
4 P 0.0000 0.0000 0.0000  6 Li 2.19
5 Rh 0.5000 0.5000 0.5000  12 Li 3.09

Output
Symmetry ... Pm-3m (221)
Electronic total energy ... -0.367 Ha/atom
Crystal system ... cubic

First-principles (SCAN) data for Ca2ReBiPt at its PBEsol-relaxed geometry, as listed in Alexandria via LeMat-Bulk.

Unit cell a=5.3017 b=5.3017 c=5.1806 alpha=90.00 beta=90.00 gamma=90.00
Last column: nearest neighbours and their distance in Å.
Fractional coordinates of all 5 atoms:
1 Ca 0.0000 0.5000 0.0000  2 Pt 2.65
2 Ca 0.5000 0.0000 0.0000  2 Pt 2.65
3 Re 0.0000 0.0000 0.5000  8 Ca 3.71, 4 Bi 3.75
4 Bi 0.5000 0.5000 0.5000  2 Pt 2.59
5 Pt 0.5000 0.5000 0.0000  2 Bi 2.59, 4 Ca 2.65

Output
Symmetry ... P4/mmm (123)
Electronic total energy ... -1.733 Ha/atom
Crystal system ... tetragonal

First-principles (SCAN) data for Fe3CuC at its PBEsol-relaxed geometry, as listed in Alexandria via LeMat-Bulk.

Unit cell a=3.7061 b=3.7061 c=3.7061 alpha=90.00 beta=90.00 gamma=90.00
Last column: nearest neighbours and their distance in Å.
Fractional coordinates of all 5 atoms:
1 Fe 0.0000 0.0000 0.5000  2 C 1.85
2 Fe 0.0000 0.5000 0.0000  2 C 1.85
3 Fe 0.5000 0.0000 0.0000  2 C 1.85
4 Cu 0.5000 0.5000 0.5000  12 Fe 2.62
5 C 0.0000 0.0000 0.0000  6 Fe 1.85

Output
Symmetry ... Pm-3m (221)
Electronic total energy ... -0.579 Ha/atom
Crystal system ... cubic

| no. | N(E_F) (states/eV per atom) | ΔE_f (meV/atom) |
| --- | --- | --- |
| 1 | 0.291 | 583.6 |
| 2 | 0.861 | 285.2 |
| 3 | 0.671 | 675.8 |
| 4 | 0.576 | 185.5 |